InAgTeSe: relaxed, PBE.

The calculation puts the total energy at -3.397 eV per atom. As for the space-group type: I2_12_12_1, No. 24. The calculation puts the formation energy (no corrections) at -0.343 eV/atom.

Cell lengths 7.710, 7.710, 7.710 Å; angles 131.43, 130.74, 71.68 degrees
Fractional positions:
1 In 0.131 0.381 0.750
2 In 0.369 0.119 0.250
3 Ag 0.637 0.887 0.750
4 Ag 0.863 0.613 0.250
5 Te 0.250 0.990 0.740
6 Te 0.750 0.510 0.760
7 Se 0.491 0.750 0.241
8 Se 0.009 0.250 0.259